ZnNi2Pt (PBE-GGA, relaxed); symmetry = No. 71
1.0
-1.422 2.134 4.247
1.422 -2.134 4.247
1.422 2.134 -4.247
Zn Ni Pt
1 2 1
Direct
0.000 0.000 0.000 Zn
0.242 0.742 0.500 Ni
0.758 0.258 0.500 Ni
0.500 0.500 0.000 Pt

=====

Zn2Ni2Pt5 (PBE-GGA, relaxed); symmetry = No. 64
1.0
6.766 -3.210 0.000
6.766 3.210 0.000
0.000 0.000 6.273
Zn Ni Pt
4 4 10
Direct
0.207 0.207 0.000 Zn
0.293 0.293 0.500 Zn
0.707 0.707 0.500 Zn
0.793 0.793 0.000 Zn
0.132 0.868 0.629 Ni
0.368 0.632 0.129 Ni
0.632 0.368 0.871 Ni
0.868 0.132 0.371 Ni
0.000 0.000 0.000 Pt
0.026 0.704 0.340 Pt
0.204 0.526 0.840 Pt
0.296 0.974 0.340 Pt
0.474 0.796 0.840 Pt
0.500 0.500 0.500 Pt
0.526 0.204 0.160 Pt
0.704 0.026 0.660 Pt
0.796 0.474 0.160 Pt
0.974 0.296 0.660 Pt

=====

ZnNi5Pt8 (PBE-GGA, relaxed); symmetry = No. 82
1.0
-3.672 3.672 3.823
3.672 -3.672 3.823
3.672 3.672 -3.823
Zn Ni Pt
1 5 8
Direct
0.000 0.000 0.000 Zn
0.214 0.038 0.590 Ni
0.377 0.786 0.824 Ni
0.447 0.623 0.410 Ni
0.750 0.250 0.500 Ni
0.962 0.553 0.176 Ni
0.100 0.327 0.421 Pt
0.171 0.409 0.901 Pt
0.320 0.900 0.227 Pt
0.509 0.270 0.099 Pt
0.591 0.491 0.761 Pt
0.673 0.093 0.773 Pt
0.730 0.829 0.239 Pt
0.907 0.680 0.579 Pt

=====

ZnNi2Pt (PBE-GGA, relaxed); symmetry = No. 119
1.0
-1.883 1.883 3.620
1.883 -1.883 3.620
1.883 1.883 -3.620
Zn Ni Pt
1 2 1
Direct
0.000 0.000 0.000 Zn
0.250 0.750 0.500 Ni
0.500 0.500 0.000 Ni
0.750 0.250 0.500 Pt

=====

Zn2NiPt (PBE-GGA, relaxed); symmetry = No. 12
1.0
2.785 -3.438 0.000
2.785 3.438 0.000
-0.010 0.000 2.838
Zn Ni Pt
2 1 1
Direct
0.000 0.500 0.000 Zn
0.500 0.000 0.000 Zn
0.000 0.000 0.500 Ni
0.500 0.500 0.500 Pt

=====

ZnNi2Pt (PBE-GGA, relaxed); symmetry = No. 25
1.0
2.685 0.000 0.000
0.000 4.282 0.000
0.000 0.000 4.457
Zn Ni Pt
1 2 1
Direct
0.000 0.000 0.000 Zn
0.500 0.000 0.513 Ni
0.500 0.500 0.856 Ni
0.000 0.500 0.363 Pt

=====

Zn2NiPt8 (PBE-GGA, relaxed); symmetry = No. 12; polymorph energy (0 for the lowest one) = 0.050 eV/atom
1.0
5.919 -3.392 0.000
5.919 3.392 0.000
-1.282 0.000 4.465
Zn Ni Pt
2 1 8
Direct
0.128 0.128 0.495 Zn
0.872 0.872 0.505 Zn
0.000 0.000 0.000 Ni
0.223 0.223 0.056 Pt
0.227 0.632 0.206 Pt
0.359 0.359 0.653 Pt
0.368 0.773 0.794 Pt
0.632 0.227 0.206 Pt
0.641 0.641 0.347 Pt
0.773 0.368 0.794 Pt
0.777 0.777 0.944 Pt

=====

ZnNi4Pt5 (PBE-GGA, relaxed); symmetry = No. 123
1.0
2.741 0.000 0.000
0.000 2.741 0.000
0.000 0.000 18.239
Zn Ni Pt
1 4 5
Direct
0.000 0.000 0.000 Zn
0.000 0.000 0.203 Ni
0.000 0.000 0.401 Ni
0.000 0.000 0.599 Ni
0.000 0.000 0.797 Ni
0.500 0.500 0.104 Pt
0.500 0.500 0.302 Pt
0.500 0.500 0.500 Pt
0.500 0.500 0.698 Pt
0.500 0.500 0.896 Pt

=====

Which DFT formation energy belongs to each record? In order, -139 -35 75 -231 -386 -209 -6 -185 meV/atom.